1.
The following is a PBE-GGA calculation of crystalline Sr2GeI at its relaxed geometry, from Alexandria.

POSCAR file:
```
Sr2GeI
1.0
4.5317 0.0000 0.0000
-2.2658 3.9246 0.0000
0.0000 0.0000 25.2143
Sr Ge I
6 3 3
direct
0.0000 0.0000 0.2374
0.0000 0.0000 0.7626
0.3333 0.6667 0.4293
0.3333 0.6667 0.9041
0.6667 0.3333 0.0959
0.6667 0.3333 0.5707
0.0000 0.0000 0.5000
0.3333 0.6667 0.1667
0.6667 0.3333 0.8333
0.0000 0.0000 0.0000
0.3333 0.6667 0.6667
0.6667 0.3333 0.3333
```

Results
Distance to the lowest polymorph of the same formula in eV per formula unit: 0.00
Symmetry: R-3m

2.
The following is a PBE-GGA calculation of crystalline Sr2GeI at its relaxed geometry, from Alexandria.

POSCAR file:
```
Sr2GeI
1.0
4.4854 0.0000 0.0000
-2.2427 3.8844 0.0000
0.0000 0.0000 25.8800
Sr Ge I
6 3 3
direct
0.0000 0.0000 0.0000
0.0000 0.0000 0.1933
0.3333 0.6667 0.6667
0.3333 0.6667 0.8600
0.6667 0.3333 0.3333
0.6667 0.3333 0.5266
0.0000 0.0000 0.5965
0.3333 0.6667 0.2632
0.6667 0.3333 0.9299
0.0000 0.0000 0.7659
0.3333 0.6667 0.4325
0.6667 0.3333 0.0992
```

Results
Distance to the lowest polymorph of the same formula in eV per formula unit: 0.11
Symmetry: R3m

3.
The following is a PBE-GGA calculation of crystalline SrGeI2 at its relaxed geometry, from Alexandria.

POSCAR file:
```
SrGeI2
1.0
4.5629 0.0000 0.0000
-2.2814 3.9516 0.0000
0.0000 0.0000 30.0382
Sr Ge I
3 3 6
direct
0.0000 0.0000 0.0000
0.3333 0.6667 0.6667
0.6667 0.3333 0.3333
0.0000 0.0000 0.5000
0.3333 0.6667 0.1667
0.6667 0.3333 0.8333
0.0000 0.0000 0.1127
0.0000 0.0000 0.8873
0.3333 0.6667 0.5540
0.3333 0.6667 0.7794
0.6667 0.3333 0.2206
0.6667 0.3333 0.4460
```

Results
Distance to the lowest polymorph of the same formula in eV per formula unit: 1.11
Symmetry: R-3m

4.
The following is a PBE-GGA calculation of crystalline Sr5GeI5 at its relaxed geometry, from Alexandria.

POSCAR file:
```
Sr5GeI5
1.0
7.6093 -3.3118 0.0000
7.6093 3.3118 0.0000
-3.0938 0.0000 9.0120
Sr Ge I
5 1 5
direct
0.0000 0.0000 0.0000
0.3505 0.3505 0.1491
0.3523 0.3523 0.6967
0.6477 0.6477 0.3033
0.6495 0.6495 0.8509
0.5000 0.5000 0.0000
0.1668 0.1668 0.8241
0.1854 0.1854 0.3390
0.5000 0.5000 0.5000
0.8146 0.8146 0.6610
0.8332 0.8332 0.1759
```

Results
Symmetry: C2/m

5.
The following is a PBE-GGA calculation of crystalline SrGeI2 at its relaxed geometry, from Alexandria.

POSCAR file:
```
SrGeI2
1.0
8.1255 0.0000 0.0000
0.0000 8.1255 0.0000
0.0000 0.0000 8.1255
Sr Ge I
4 4 8
direct
0.0000 0.0000 0.0000
0.0000 0.5000 0.5000
0.5000 0.0000 0.5000
0.5000 0.5000 0.0000
0.0000 0.0000 0.5000
0.0000 0.5000 0.0000
0.5000 0.0000 0.0000
0.5000 0.5000 0.5000
0.2500 0.2500 0.2500
0.2500 0.2500 0.7500
0.2500 0.7500 0.2500
0.2500 0.7500 0.7500
0.7500 0.2500 0.2500
0.7500 0.2500 0.7500
0.7500 0.7500 0.2500
0.7500 0.7500 0.7500
```

Results
Distance to the lowest polymorph of the same formula in eV per formula unit: 0.00
Symmetry: Fm-3m

6.
The following is a PBE-GGA calculation of crystalline SrGeI3 at its relaxed geometry, from Alexandria.

POSCAR file:
```
SrGeI3
1.0
6.3352 0.0000 0.0000
0.0000 6.3352 0.0000
0.0000 0.0000 6.3352
Sr Ge I
1 1 3
direct
0.0000 0.0000 0.0000
0.5000 0.5000 0.5000
0.0000 0.0000 0.5000
0.0000 0.5000 0.0000
0.5000 0.0000 0.0000
```

Results
Distance to the lowest polymorph of the same formula in eV per formula unit: 0.74
Symmetry: Pm-3m

7.
The following is a PBE-GGA calculation of crystalline Sr2GeI at its relaxed geometry, from Alexandria.

POSCAR file:
```
Sr2GeI
1.0
3.9249 0.0000 0.0000
0.0000 3.9249 0.0000
0.0000 0.0000 8.7194
Sr Ge I
2 1 1
direct
0.0000 0.0000 0.2109
0.0000 0.0000 0.7891
0.5000 0.5000 0.0000
0.5000 0.5000 0.5000
```

Results
Distance to the lowest polymorph of the same formula in eV per formula unit: 0.27
Symmetry: P4/mmm

8.
The following is a PBE-GGA calculation of crystalline Sr3GeI3 at its relaxed geometry, from Alexandria.

POSCAR file:
```
Sr3GeI3
1.0
-6.6441 6.6441 6.6441
6.6441 -6.6441 6.6441
6.6441 6.6441 -6.6441
Sr Ge I
12 4 12
direct
0.0097 0.0194 0.2597
0.0097 0.4903 0.7500
0.0194 0.2597 0.0097
0.2403 0.2597 0.7500
0.2403 0.4806 0.4903
0.2597 0.0097 0.0194
0.2597 0.7500 0.2403
0.4806 0.4903 0.2403
0.4903 0.2403 0.4806
0.4903 0.7500 0.0097
0.7500 0.0097 0.4903
0.7500 0.2403 0.2597
0.0000 0.2500 0.5000
0.2500 0.2500 0.2500
0.2500 0.5000 0.0000
0.5000 0.0000 0.2500
0.2500 0.7528 0.7472
0.2500 0.9972 0.5028
0.5028 0.2500 0.9972
0.5028 0.7528 0.5055
0.5055 0.5028 0.7528
0.7472 0.2500 0.7528
0.7472 0.9972 0.9945
0.7528 0.5055 0.5028
0.7528 0.7472 0.2500
0.9945 0.7472 0.9972
0.9972 0.5028 0.2500
0.9972 0.9945 0.7472
```

Results
Symmetry: I4_132

9.
The following is a PBE-GGA calculation of crystalline Sr4GeI3 at its relaxed geometry, from Alexandria.

POSCAR file:
```
Sr4GeI3
1.0
8.3584 0.0000 0.0000
0.0000 9.6040 0.0000
-2.6974 0.0000 7.7752
Sr Ge I
8 2 6
direct
0.2091 0.1017 0.0012
0.2091 0.8983 0.5012
0.2243 0.3482 0.4711
0.2243 0.6518 0.9711
0.7757 0.3482 0.0289
0.7757 0.6518 0.5289
0.7909 0.1017 0.4988
0.7909 0.8983 0.9988
0.0000 0.1268 0.2500
0.0000 0.8732 0.7500
0.0000 0.3782 0.7500
0.0000 0.6218 0.2500
0.5000 0.1329 0.7500
0.5000 0.3879 0.2500
0.5000 0.6121 0.7500
0.5000 0.8671 0.2500
```

Results
Symmetry: P2/c

10.
The following is a PBE-GGA calculation of crystalline SrTc2GeI at its relaxed geometry, from Alexandria.

POSCAR file:
```
SrTc2GeI
1.0
5.3028 0.0000 0.0000
0.0000 5.3028 0.0000
0.0000 0.0000 5.7064
Sr Tc Ge I
1 2 1 1
direct
0.0000 0.0000 0.0000
0.0000 0.5000 0.0000
0.5000 0.0000 0.0000
0.0000 0.0000 0.5000
0.5000 0.5000 0.5000
```

Results
Symmetry: P4/mmm

11.
The following is a PBE-GGA calculation of crystalline TaGeI2 at its relaxed geometry, from Alexandria.

POSCAR file:
```
TaGeI2
1.0
7.1178 0.0000 0.0000
0.0000 7.1178 0.0000
0.0000 0.0000 7.1178
Ta Ge I
4 4 8
direct
0.0000 0.0000 0.0000
0.0000 0.5000 0.5000
0.5000 0.0000 0.5000
0.5000 0.5000 0.0000
0.0000 0.0000 0.5000
0.0000 0.5000 0.0000
0.5000 0.0000 0.0000
0.5000 0.5000 0.5000
0.2500 0.2500 0.2500
0.2500 0.2500 0.7500
0.2500 0.7500 0.2500
0.2500 0.7500 0.7500
0.7500 0.2500 0.2500
0.7500 0.2500 0.7500
0.7500 0.7500 0.2500
0.7500 0.7500 0.7500
```

Results
Distance to the lowest polymorph of the same formula in eV per formula unit: 1.59
Symmetry: Fm-3m

12.
The following is a PBE-GGA calculation of crystalline Ta3GeI at its relaxed geometry, from Alexandria.

POSCAR file:
```
Ta3GeI
1.0
4.8525 0.0000 0.0000
0.0000 4.8525 0.0000
0.0000 0.0000 4.8525
Ta Ge I
3 1 1
direct
0.0000 0.0000 0.5000
0.0000 0.5000 0.0000
0.5000 0.0000 0.0000
0.0000 0.0000 0.0000
0.5000 0.5000 0.5000
```

Results
Distance to the lowest polymorph of the same formula in eV per formula unit: 0.00
Symmetry: Pm-3m

| no. | formation energy from raw total energies (eV per atom) | N(E_F) (states/eV per atom) |
| --- | --- | --- |
| 1 | -0.9268 | 0.66 |
| 2 | -0.8985 | 0.61 |
| 3 | -0.2064 | 0.59 |
| 4 | -1.3027 | 0.38 |
| 5 | -0.4837 | 0.78 |
| 6 | -0.4057 | 0.73 |
| 7 | -0.8603 | 0.43 |
| 8 | -1.2559 | 0.62 |
| 9 | -1.1338 | 0.36 |
| 10 | 2.2107 | 0.87 |
| 11 | 0.7658 | 0.52 |
| 12 | 1.4252 | 2.04 |